1.
Entry from Alexandria: a relaxed structure of NiSeS2Cl (PBE-GGA).

Geometry as CIF:
```
data_NiSeS2Cl
_space_group_name_H-M_alt 'P 4/m m m'
_space_group_IT_number 123
_space_group_name_Hall '-P 4 2'
_cell_length_a 4.4771
_cell_length_b 4.4771
_cell_length_c 4.4156
_cell_angle_alpha 90.00
_cell_angle_beta 90.00
_cell_angle_gamma 90.00
loop_
_atom_site_label
_atom_site_type_symbol
_atom_site_fract_x
_atom_site_fract_y
_atom_site_fract_z
Ni1 Ni 0.0000 0.0000 0.0000
Se1 Se 0.5000 0.5000 0.5000
S1 S 0.0000 0.5000 0.0000
Cl1 Cl 0.0000 0.0000 0.5000
```

Computed properties:
- distance to the lowest polymorph of the same formula (meV per atom) = 0

2.
Entry from Alexandria: a relaxed structure of NiSeSCl2 (PBE-GGA).

Geometry as CIF:
```
data_NiSeSCl2
_space_group_name_H-M_alt 'P 4/m m m'
_space_group_IT_number 123
_space_group_name_Hall '-P 4 2'
_cell_length_a 4.4506
_cell_length_b 4.4506
_cell_length_c 4.7533
_cell_angle_alpha 90.00
_cell_angle_beta 90.00
_cell_angle_gamma 90.00
loop_
_atom_site_label
_atom_site_type_symbol
_atom_site_fract_x
_atom_site_fract_y
_atom_site_fract_z
Ni1 Ni 0.0000 0.0000 0.0000
Se1 Se 0.5000 0.5000 0.5000
S1 S 0.0000 0.0000 0.5000
Cl1 Cl 0.0000 0.5000 0.0000
```

Computed properties:
- distance to the lowest polymorph of the same formula (meV per atom) = 0

3.
Entry from Alexandria: a relaxed structure of NiSnSCl2 (PBE-GGA).

Geometry as CIF:
```
data_NiSnSCl2
_space_group_name_H-M_alt 'P 4/m m m'
_space_group_IT_number 123
_space_group_name_Hall '-P 4 2'
_cell_length_a 5.2030
_cell_length_b 5.2030
_cell_length_c 5.1025
_cell_angle_alpha 90.00
_cell_angle_beta 90.00
_cell_angle_gamma 90.00
loop_
_atom_site_label
_atom_site_type_symbol
_atom_site_fract_x
_atom_site_fract_y
_atom_site_fract_z
Ni1 Ni 0.0000 0.0000 0.0000
Sn1 Sn 0.5000 0.5000 0.5000
S1 S 0.5000 0.5000 0.0000
Cl1 Cl 0.0000 0.5000 0.5000
```

Computed properties:
- distance to the lowest polymorph of the same formula (meV per atom) = 637

4.
Entry from Alexandria: a relaxed structure of NiSnS2Cl (PBE-GGA).

Geometry as CIF:
```
data_NiSnS2Cl
_space_group_name_H-M_alt 'P 4/m m m'
_space_group_IT_number 123
_space_group_name_Hall '-P 4 2'
_cell_length_a 4.5637
_cell_length_b 4.5637
_cell_length_c 4.6568
_cell_angle_alpha 90.00
_cell_angle_beta 90.00
_cell_angle_gamma 90.00
loop_
_atom_site_label
_atom_site_type_symbol
_atom_site_fract_x
_atom_site_fract_y
_atom_site_fract_z
Ni1 Ni 0.0000 0.0000 0.0000
Sn1 Sn 0.5000 0.5000 0.5000
S1 S 0.0000 0.5000 0.0000
Cl1 Cl 0.0000 0.0000 0.5000
```

Computed properties:
- distance to the lowest polymorph of the same formula (meV per atom) = 0

5.
Entry from Alexandria: a relaxed structure of NiSnSCl2 (PBE-GGA).

Geometry as CIF:
```
data_NiSnSCl2
_space_group_name_H-M_alt 'P 4/m m m'
_space_group_IT_number 123
_space_group_name_Hall '-P 4 2'
_cell_length_a 4.5713
_cell_length_b 4.5713
_cell_length_c 4.7977
_cell_angle_alpha 90.00
_cell_angle_beta 90.00
_cell_angle_gamma 90.00
loop_
_atom_site_label
_atom_site_type_symbol
_atom_site_fract_x
_atom_site_fract_y
_atom_site_fract_z
Ni1 Ni 0.0000 0.0000 0.0000
Sn1 Sn 0.5000 0.5000 0.5000
S1 S 0.0000 0.0000 0.5000
Cl1 Cl 0.0000 0.5000 0.0000
```

Computed properties:
- distance to the lowest polymorph of the same formula (meV per atom) = 0

6.
Entry from Alexandria: a relaxed structure of SrNiS2Cl (PBE-GGA).

Geometry as CIF:
```
data_SrNiS2Cl
_space_group_name_H-M_alt 'P 4/m m m'
_space_group_IT_number 123
_space_group_name_Hall '-P 4 2'
_cell_length_a 4.5782
_cell_length_b 4.5782
_cell_length_c 4.7972
_cell_angle_alpha 90.00
_cell_angle_beta 90.00
_cell_angle_gamma 90.00
loop_
_atom_site_label
_atom_site_type_symbol
_atom_site_fract_x
_atom_site_fract_y
_atom_site_fract_z
Sr1 Sr 0.0000 0.0000 0.0000
Ni1 Ni 0.5000 0.5000 0.5000
S1 S 0.0000 0.5000 0.5000
Cl1 Cl 0.5000 0.5000 0.0000
```

Computed properties:
- distance to the lowest polymorph of the same formula (meV per atom) = 0

7.
Entry from Alexandria: a relaxed structure of SrNiS2Cl (PBE-GGA).

Geometry as CIF:
```
data_SrNiS2Cl
_space_group_name_H-M_alt 'P 4/m m m'
_space_group_IT_number 123
_space_group_name_Hall '-P 4 2'
_cell_length_a 5.5566
_cell_length_b 5.5566
_cell_length_c 5.4023
_cell_angle_alpha 90.00
_cell_angle_beta 90.00
_cell_angle_gamma 90.00
loop_
_atom_site_label
_atom_site_type_symbol
_atom_site_fract_x
_atom_site_fract_y
_atom_site_fract_z
Sr1 Sr 0.0000 0.0000 0.0000
Ni1 Ni 0.5000 0.5000 0.5000
S1 S 0.0000 0.5000 0.0000
Cl1 Cl 0.0000 0.0000 0.5000
```

Computed properties:
- distance to the lowest polymorph of the same formula (meV per atom) = 1337

8.
Entry from Alexandria: a relaxed structure of TaNiS2Cl (PBE-GGA).

Geometry as CIF:
```
data_TaNiS2Cl
_space_group_name_H-M_alt 'P 4/m m m'
_space_group_IT_number 123
_space_group_name_Hall '-P 4 2'
_cell_length_a 4.7898
_cell_length_b 4.7898
_cell_length_c 4.7813
_cell_angle_alpha 90.00
_cell_angle_beta 90.00
_cell_angle_gamma 90.00
loop_
_atom_site_label
_atom_site_type_symbol
_atom_site_fract_x
_atom_site_fract_y
_atom_site_fract_z
Ta1 Ta 0.0000 0.0000 0.0000
Ni1 Ni 0.5000 0.5000 0.5000
S1 S 0.0000 0.5000 0.0000
Cl1 Cl 0.0000 0.0000 0.5000
```

Computed properties:
- distance to the lowest polymorph of the same formula (meV per atom) = 0

9.
Entry from Alexandria: a relaxed structure of TaNiSCl2 (PBE-GGA).

Geometry as CIF:
```
data_TaNiSCl2
_space_group_name_H-M_alt 'P 4/m m m'
_space_group_IT_number 123
_space_group_name_Hall '-P 4 2'
_cell_length_a 4.3993
_cell_length_b 4.3993
_cell_length_c 4.7064
_cell_angle_alpha 90.00
_cell_angle_beta 90.00
_cell_angle_gamma 90.00
loop_
_atom_site_label
_atom_site_type_symbol
_atom_site_fract_x
_atom_site_fract_y
_atom_site_fract_z
Ta1 Ta 0.0000 0.0000 0.0000
Ni1 Ni 0.5000 0.5000 0.5000
S1 S 0.5000 0.5000 0.0000
Cl1 Cl 0.0000 0.5000 0.5000
```

Computed properties:
- distance to the lowest polymorph of the same formula (meV per atom) = 366

10.
Entry from Alexandria: a relaxed structure of TaNiS2Cl (PBE-GGA).

Geometry as CIF:
```
data_TaNiS2Cl
_space_group_name_H-M_alt 'P 4/m m m'
_space_group_IT_number 123
_space_group_name_Hall '-P 4 2'
_cell_length_a 4.4742
_cell_length_b 4.4742
_cell_length_c 4.3005
_cell_angle_alpha 90.00
_cell_angle_beta 90.00
_cell_angle_gamma 90.00
loop_
_atom_site_label
_atom_site_type_symbol
_atom_site_fract_x
_atom_site_fract_y
_atom_site_fract_z
Ta1 Ta 0.0000 0.0000 0.0000
Ni1 Ni 0.5000 0.5000 0.5000
S1 S 0.0000 0.5000 0.5000
Cl1 Cl 0.5000 0.5000 0.0000
```

Computed properties:
- distance to the lowest polymorph of the same formula (meV per atom) = 361

11.
Entry from Alexandria: a relaxed structure of TaNiSCl2 (PBE-GGA).

Geometry as CIF:
```
data_TaNiSCl2
_space_group_name_H-M_alt 'P 4/m m m'
_space_group_IT_number 123
_space_group_name_Hall '-P 4 2'
_cell_length_a 4.8076
_cell_length_b 4.8076
_cell_length_c 4.8022
_cell_angle_alpha 90.00
_cell_angle_beta 90.00
_cell_angle_gamma 90.00
loop_
_atom_site_label
_atom_site_type_symbol
_atom_site_fract_x
_atom_site_fract_y
_atom_site_fract_z
Ta1 Ta 0.0000 0.0000 0.0000
Ni1 Ni 0.5000 0.5000 0.5000
S1 S 0.0000 0.0000 0.5000
Cl1 Cl 0.0000 0.5000 0.0000
```

Computed properties:
- distance to the lowest polymorph of the same formula (meV per atom) = 0

12.
Entry from Alexandria: a relaxed structure of TaNi2SCl (PBE-GGA).

Geometry as CIF:
```
data_TaNi2SCl
_space_group_name_H-M_alt 'P 4/m m m'
_space_group_IT_number 123
_space_group_name_Hall '-P 4 2'
_cell_length_a 4.1255
_cell_length_b 4.1255
_cell_length_c 4.7580
_cell_angle_alpha 90.00
_cell_angle_beta 90.00
_cell_angle_gamma 90.00
loop_
_atom_site_label
_atom_site_type_symbol
_atom_site_fract_x
_atom_site_fract_y
_atom_site_fract_z
Ta1 Ta 0.0000 0.0000 0.0000
Ni1 Ni 0.0000 0.5000 0.5000
S1 S 0.0000 0.0000 0.5000
Cl1 Cl 0.5000 0.5000 0.0000
```

| no. | D(E_F) (states/eV/cell) | raw formation energy (eV per atom) |
| --- | --- | --- |
| 1 | 3.6 | 0.414 |
| 2 | 4.9 | 0.260 |
| 3 | 6.5 | 0.304 |
| 4 | 3.7 | -0.119 |
| 5 | 2.4 | -0.333 |
| 6 | 5.1 | -0.950 |
| 7 | 16.6 | 0.387 |
| 8 | 11.4 | 0.126 |
| 9 | 3.9 | 0.506 |
| 10 | 3.2 | 0.487 |
| 11 | 9.3 | 0.140 |
| 12 | 2.6 | 0.287 |